ScAgC (PBE-GGA, relaxed); electronic total energy = -6.263 eV/atom; theoretical density = 5.9 Mg/m³
1.0
-2.157 1.727 2.210
-1.792 -2.807 0.444
6.149 -3.231 4.396
Sc C Ag
2 2 2
Direct
0.674 0.902 0.508
0.651 0.402 0.158
0.035 0.902 0.340
0.211 0.902 0.215
0.975 0.902 0.915
0.343 0.402 0.735

CaMnZn (PBE-GGA, relaxed); electronic total energy = -3.984 eV/atom; theoretical density = 4.0 Mg/m³
1.0
-0.783 -4.441 0.595
2.480 2.299 3.042
-3.085 0.800 1.911
Zn Mn Ca
1 1 1
Direct
0.333 0.667 0.500
0.667 0.333 0.500
0.000 0.000 0.000

Ba2FeW (PBE-GGA, relaxed); electronic total energy = -4.537 eV/atom; theoretical density = 7.3 Mg/m³; distance to the lowest polymorph of the same formula = 1208 meV per atom
1.0
0.000 3.883 3.883
3.883 0.000 3.883
3.883 3.883 0.000
Ba W Fe
2 1 1
Direct
0.250 0.250 0.250
0.750 0.750 0.750
0.500 0.500 0.500
0.000 0.000 0.000

Nb2PtBr (PBE-GGA, relaxed); E_form (uncorrected) = 2.17 eV per formula unit; electronic total energy = -6.421 eV/atom; theoretical density = 7.6 Mg/m³; distance to the lowest polymorph of the same formula = 459 meV per atom
1.0
5.876 0.000 0.000
0.000 5.876 0.000
2.938 2.938 5.857
Nb Br Pt
4 2 2
Direct
0.642 0.125 0.250
0.108 0.625 0.250
0.375 0.358 0.750
0.875 0.892 0.750
0.500 0.500 0.000
0.250 0.750 0.500
0.000 0.000 0.000
0.750 0.250 0.500